This record from Alexandria via LeMat-Bulk describes crystalline Pr2P4Ir3Pt at its relaxed geometry. The functional is PBE.

a = 4.252 Å, b = 4.252 Å, c = 9.543 Å
α = 90.00°, β = 90.00°, γ = 90.00°
Sites, in units of the cell vectors:
Pr (0.000, 0.500, 0.241)
Pr (0.500, 0.000, 0.759)
P (0.000, 0.000, 0.000)
P (0.000, 0.500, 0.640)
P (0.500, 0.000, 0.360)
P (0.500, 0.500, 0.000)
Ir (0.000, 0.500, 0.890)
Ir (0.500, 0.000, 0.110)
Ir (0.500, 0.500, 0.500)
Pt (0.000, 0.000, 0.500)

Total DFT energy (no corrections) = -73.590 eV for the cell shown
E_form = -94.2 kJ per mole of atoms
Symmetry = P-4m2, No. 115
V = 17.26 Å³/atom


This record from Alexandria via LeMat-Bulk describes crystalline Pr2P3IrRh12 at its relaxed geometry. The functional is PBE.

a = 7.116 Å, b = 7.116 Å, c = 7.116 Å
α = 72.94°, β = 72.94°, γ = 72.94°
Sites, in units of the cell vectors:
Pr (0.107, 0.107, 0.107)
Pr (0.893, 0.893, 0.893)
P (0.000, 0.500, 0.500)
P (0.500, 0.000, 0.500)
P (0.500, 0.500, 0.000)
Ir (0.500, 0.500, 0.500)
Rh (0.135, 0.644, 0.644)
Rh (0.170, 0.170, 0.587)
Rh (0.170, 0.587, 0.170)
Rh (0.356, 0.356, 0.865)
Rh (0.356, 0.865, 0.356)
Rh (0.413, 0.830, 0.830)
Rh (0.587, 0.170, 0.170)
Rh (0.644, 0.135, 0.644)
Rh (0.644, 0.644, 0.135)
Rh (0.830, 0.413, 0.830)
Rh (0.830, 0.830, 0.413)
Rh (0.865, 0.356, 0.356)

Total DFT energy (no corrections) = -124.616 eV for the cell shown
E_form = -9.4 kJ per mole of atoms
Symmetry = R-3m, No. 166
V = 17.82 Å³/atom


This record from Alexandria via LeMat-Bulk describes crystalline PrP2IrRh2 at its relaxed geometry. The functional is PBE.

a = 4.497 Å, b = 4.497 Å, c = 5.628 Å
α = 90.00°, β = 90.00°, γ = 90.00°
Sites, in units of the cell vectors:
Pr (0.000, 0.000, 0.000)
P (0.000, 0.500, 0.500)
P (0.500, 0.000, 0.500)
Ir (0.000, 0.000, 0.500)
Rh (0.500, 0.500, 0.252)
Rh (0.500, 0.500, 0.748)

Total DFT energy (no corrections) = -40.676 eV for the cell shown
E_form = -24.3 kJ per mole of atoms
Symmetry = P4/mmm, No. 123
V = 18.97 Å³/atom


This record from Alexandria via LeMat-Bulk describes crystalline Pr2P3Ir4Rh at its relaxed geometry. The functional is PBE.

a = 4.169 Å, b = 4.169 Å, c = 10.021 Å
α = 90.00°, β = 90.00°, γ = 90.00°
Sites, in units of the cell vectors:
Pr (0.000, 0.500, 0.250)
Pr (0.500, 0.000, 0.750)
P (0.000, 0.000, 0.000)
P (0.000, 0.500, 0.636)
P (0.500, 0.000, 0.364)
Ir (0.000, 0.000, 0.500)
Ir (0.000, 0.500, 0.866)
Ir (0.500, 0.000, 0.134)
Ir (0.500, 0.500, 0.500)
Rh (0.500, 0.500, 0.000)

Total DFT energy (no corrections) = -76.504 eV for the cell shown
E_form = -76.4 kJ per mole of atoms
Symmetry = P-4m2, No. 115
V = 17.41 Å³/atom


This record from Alexandria via LeMat-Bulk describes crystalline PrP2IrRu at its relaxed geometry. The functional is PBE.

a = 6.225 Å, b = 6.225 Å, c = 6.225 Å
α = 142.56°, β = 142.56°, γ = 53.99°
Sites, in units of the cell vectors:
Pr (0.000, 0.000, 0.000)
P (0.363, 0.363, 0.000)
P (0.637, 0.637, 0.000)
Ir (0.750, 0.250, 0.500)
Ru (0.250, 0.750, 0.500)

Total DFT energy (no corrections) = -38.513 eV for the cell shown
E_form = -92.2 kJ per mole of atoms
Symmetry = I-4m2, No. 119
V = 17.72 Å³/atom


This record from Alexandria via LeMat-Bulk describes crystalline Pr6P2IrS3 at its relaxed geometry. The functional is PBE.

a = 9.323 Å, b = 9.323 Å, c = 8.409 Å
α = 102.99°, β = 102.99°, γ = 25.70°
Sites, in units of the cell vectors:
Pr (0.001, 0.001, 0.246)
Pr (0.331, 0.331, 0.420)
Pr (0.336, 0.336, 0.913)
Pr (0.664, 0.664, 0.087)
Pr (0.669, 0.669, 0.580)
Pr (0.999, 0.999, 0.754)
P (0.167, 0.167, 0.336)
P (0.833, 0.833, 0.664)
Ir (0.500, 0.500, 0.000)
S (0.169, 0.169, 0.833)
S (0.500, 0.500, 0.500)
S (0.831, 0.831, 0.167)

Formation energy without anion corrections = -1.6139 eV per atom
Total DFT energy (no corrections) = -80.107 eV for the cell shown
Symmetry = C2/m, No. 12
V = 25.70 Å³/atom